Entry 1:
FeBiSbI2: relaxed, PBE-GGA.

```
data_FeBiSbI2
_symmetry_space_group_name_H-M 'P 4/m m m'
_symmetry_Int_Tables_number 123
_symmetry_space_group_name_Hall '-P 4 2'
_cell_length_a 5.256
_cell_length_b 5.256
_cell_length_c 5.018
_cell_angle_alpha 90.00
_cell_angle_beta 90.00
_cell_angle_gamma 90.00
loop_
_atom_site_label
_atom_site_type_symbol
_atom_site_fract_x
_atom_site_fract_y
_atom_site_fract_z
Fe1 Fe 0.000 0.000 0.000
Bi1 Bi 0.500 0.500 0.500
Sb1 Sb 0.000 0.000 0.500
I1 I 0.000 0.500 0.000
```

Computed properties:
The polymorph energy (0 for the lowest one) comes out at 0 meV/atom.

=====

Entry 2:
BeFe: relaxed, PBE-GGA.

```
data_BeFe
_symmetry_space_group_name_H-M 'R -3 m'
_symmetry_Int_Tables_number 166
_symmetry_space_group_name_Hall '-R 3 2"'
_cell_length_a 2.4118
_cell_length_b 2.4118
_cell_length_c 11.3220
_cell_angle_alpha 90.00
_cell_angle_beta 90.00
_cell_angle_gamma 120.00
loop_
_atom_site_label
_atom_site_type_symbol
_atom_site_fract_x
_atom_site_fract_y
_atom_site_fract_z
Be1 Be 0.0000 0.0000 0.0000
Fe1 Fe 0.0000 0.0000 0.5000
```

=====

Entry 3:
Tl3RuO4: relaxed, PBE-GGA.

```
data_Tl3RuO4
_symmetry_space_group_name_H-M 'P m n 21'
_symmetry_Int_Tables_number 31
_cell_length_a 8.482
_cell_length_b 7.169
_cell_length_c 5.984
_cell_angle_alpha 90.00
_cell_angle_beta 90.00
_cell_angle_gamma 90.00
loop_
_symmetry_equiv_pos_as_xyz
'x,y,z'
'-x+1/2,-y,z+1/2'
'-x,y,z'
'x+1/2,-y,z+1/2'
loop_
_atom_site_label
_atom_site_type_symbol
_atom_site_fract_x
_atom_site_fract_y
_atom_site_fract_z
Tl1 Tl 0.000 0.171 0.000
Tl2 Tl 0.243 0.670 0.009
Ru1 Ru 0.000 0.887 0.478
O1 O 0.000 0.148 0.417
O2 O 0.000 0.851 0.161
O3 O 0.181 0.809 0.600
```

Computed properties:
The polymorph energy (0 for the lowest one) comes out at 0 meV/atom.

=====

Entry 4:
AcDyGa2: relaxed, PBE-GGA.

```
data_AcDyGa2
_symmetry_space_group_name_H-M 'P 4/m m m'
_symmetry_Int_Tables_number 123
_symmetry_space_group_name_Hall '-P 4 2'
_cell_length_a 3.758
_cell_length_b 3.758
_cell_length_c 7.429
_cell_angle_alpha 90.00
_cell_angle_beta 90.00
_cell_angle_gamma 90.00
loop_
_atom_site_label
_atom_site_type_symbol
_atom_site_fract_x
_atom_site_fract_y
_atom_site_fract_z
Ac1 Ac 0.000 0.000 0.000
Dy1 Dy 0.000 0.000 0.500
Ga1 Ga 0.500 0.500 0.286
```

=====

Entry 5:
ErTmCdRh: relaxed, PBE-GGA.

```
data_ErTmCdRh
_symmetry_space_group_name_H-M 'F -4 3 m'
_symmetry_Int_Tables_number 216
_symmetry_space_group_name_Hall 'F -4 2 3'
_cell_length_a 7.067
_cell_length_b 7.067
_cell_length_c 7.067
_cell_angle_alpha 90.00
_cell_angle_beta 90.00
_cell_angle_gamma 90.00
loop_
_atom_site_label
_atom_site_type_symbol
_atom_site_fract_x
_atom_site_fract_y
_atom_site_fract_z
Er1 Er 0.000 0.000 0.000
Tm1 Tm 0.000 0.000 0.500
Cd1 Cd 0.250 0.250 0.250
Rh1 Rh 0.250 0.250 0.750
```

Computed properties:
The polymorph energy (0 for the lowest one) comes out at 95 meV/atom.

=====

Entry 6:
CaAc2Pb: relaxed, PBE-GGA.

```
data_CaAc2Pb
_symmetry_space_group_name_H-M 'P 4/m m m'
_symmetry_Int_Tables_number 123
_symmetry_space_group_name_Hall '-P 4 2'
_cell_length_a 4.503
_cell_length_b 4.503
_cell_length_c 7.569
_cell_angle_alpha 90.00
_cell_angle_beta 90.00
_cell_angle_gamma 90.00
loop_
_atom_site_label
_atom_site_type_symbol
_atom_site_fract_x
_atom_site_fract_y
_atom_site_fract_z
Ca1 Ca 0.000 0.000 0.000
Ac1 Ac 0.500 0.500 0.274
Pb1 Pb 0.000 0.000 0.500
```

Computed properties:
The polymorph energy (0 for the lowest one) comes out at 25 meV/atom.

=====

Entry 7:
Ce2PmSm6Er3: relaxed, PBE-GGA.

```
data_Ce2PmSm6Er3
_symmetry_space_group_name_H-M 'C 1 2/m 1'
_symmetry_Int_Tables_number 12
_cell_length_a 6.204
_cell_length_b 10.750
_cell_length_c 11.863
_cell_angle_alpha 90.00
_cell_angle_beta 100.07
_cell_angle_gamma 90.00
loop_
_symmetry_equiv_pos_as_xyz
'x,y,z'
'-x,-y,-z'
'-x,y,-z'
'x,-y,z'
'x+1/2,y+1/2,z'
'-x+1/2,-y+1/2,-z'
'-x+1/2,y+1/2,-z'
'x+1/2,-y+1/2,z'
loop_
_atom_site_label
_atom_site_type_symbol
_atom_site_fract_x
_atom_site_fract_y
_atom_site_fract_z
Ce1 Ce 0.000 0.167 0.000
Pm1 Pm 0.000 0.500 0.000
Sm1 Sm 0.248 0.000 0.251
Sm2 Sm 0.248 0.168 0.749
Er1 Er 0.000 0.000 0.500
Er2 Er 0.000 0.334 0.500
```

=====

Entry 8:
CeDySc2Ru4: relaxed, PBE-GGA.

```
data_CeDySc2Ru4
_symmetry_space_group_name_H-M 'R -3 m'
_symmetry_Int_Tables_number 166
_symmetry_space_group_name_Hall '-R 3 2"'
_cell_length_a 4.7011
_cell_length_b 4.7011
_cell_length_c 22.8344
_cell_angle_alpha 90.00
_cell_angle_beta 90.00
_cell_angle_gamma 120.00
loop_
_atom_site_label
_atom_site_type_symbol
_atom_site_fract_x
_atom_site_fract_y
_atom_site_fract_z
Ce1 Ce 0.0000 0.0000 0.0000
Dy1 Dy 0.0000 0.0000 0.5000
Sc1 Sc 0.0000 0.0000 0.2473
Ru1 Ru 0.0000 0.0000 0.1214
Ru2 Ru 0.0000 0.0000 0.3723
```

=====

Entry 9:
CuOsRu2Pt: relaxed, PBE-GGA.

```
data_CuOsRu2Pt
_symmetry_space_group_name_H-M 'P 4/m m m'
_symmetry_Int_Tables_number 123
_symmetry_space_group_name_Hall '-P 4 2'
_cell_length_a 4.709
_cell_length_b 4.709
_cell_length_c 4.508
_cell_angle_alpha 90.00
_cell_angle_beta 90.00
_cell_angle_gamma 90.00
loop_
_atom_site_label
_atom_site_type_symbol
_atom_site_fract_x
_atom_site_fract_y
_atom_site_fract_z
Cu1 Cu 0.000 0.000 0.000
Os1 Os 0.500 0.500 0.000
Ru1 Ru 0.000 0.500 0.500
Pt1 Pt 0.000 0.000 0.500
```

=====

Entry 10:
YTlHg2: relaxed, PBE-GGA.

```
data_YTlHg2
_symmetry_space_group_name_H-M 'P 4/m m m'
_symmetry_Int_Tables_number 123
_symmetry_space_group_name_Hall '-P 4 2'
_cell_length_a 3.873
_cell_length_b 3.873
_cell_length_c 7.033
_cell_angle_alpha 90.00
_cell_angle_beta 90.00
_cell_angle_gamma 90.00
loop_
_atom_site_label
_atom_site_type_symbol
_atom_site_fract_x
_atom_site_fract_y
_atom_site_fract_z
Y1 Y 0.000 0.000 0.000
Tl1 Tl 0.000 0.000 0.500
Hg1 Hg 0.500 0.500 0.236
```

=====

Entry 11:
TmAlOs: relaxed, PBE-GGA.

```
data_TmAlOs
_symmetry_space_group_name_H-M 'P -6 m 2'
_symmetry_Int_Tables_number 187
_symmetry_space_group_name_Hall 'P -6 2'
_cell_length_a 4.3389
_cell_length_b 4.3389
_cell_length_c 3.5156
_cell_angle_alpha 90.00
_cell_angle_beta 90.00
_cell_angle_gamma 120.00
loop_
_atom_site_label
_atom_site_type_symbol
_atom_site_fract_x
_atom_site_fract_y
_atom_site_fract_z
Tm1 Tm 0.0000 0.0000 0.0000
Al1 Al 0.3333 0.6667 0.5000
Os1 Os 0.6667 0.3333 0.5000
```

=====

Entry 12:
CaLa2Ag: relaxed, PBE-GGA.

```
data_CaLa2Ag
_symmetry_space_group_name_H-M 'R 3 m'
_symmetry_Int_Tables_number 160
_symmetry_space_group_name_Hall 'R 3 -2"'
_cell_length_a 3.8125
_cell_length_b 3.8125
_cell_length_c 32.3017
_cell_angle_alpha 90.00
_cell_angle_beta 90.00
_cell_angle_gamma 120.00
loop_
_atom_site_label
_atom_site_type_symbol
_atom_site_fract_x
_atom_site_fract_y
_atom_site_fract_z
Ca1 Ca 0.0000 0.0000 0.0000
La1 La 0.0000 0.0000 0.5255
La2 La 0.0000 0.0000 0.7688
Ag1 Ag 0.0000 0.0000 0.2653
```

Computed properties:
The polymorph energy (0 for the lowest one) comes out at 66 meV/atom.

=====

Entry 13:
Tl2FeTc: relaxed, PBE-GGA.

```
data_Tl2FeTc
_symmetry_space_group_name_H-M 'C m m m'
_symmetry_Int_Tables_number 65
_symmetry_space_group_name_Hall '-C 2 2'
_cell_length_a 3.191
_cell_length_b 5.221
_cell_length_c 9.174
_cell_angle_alpha 90.00
_cell_angle_beta 90.00
_cell_angle_gamma 90.00
loop_
_atom_site_label
_atom_site_type_symbol
_atom_site_fract_x
_atom_site_fract_y
_atom_site_fract_z
Tl1 Tl 0.000 0.000 0.245
Fe1 Fe 0.000 0.500 0.000
Tc1 Tc 0.000 0.500 0.500
```

Computed properties:
The polymorph energy (0 for the lowest one) comes out at 367 meV/atom.

=====

Entry 14:
TbIO: relaxed, PBE-GGA.

```
data_TbIO
_symmetry_space_group_name_H-M 'I 4/m m m'
_symmetry_Int_Tables_number 139
_symmetry_space_group_name_Hall '-I 4 2'
_cell_length_a 3.794
_cell_length_b 3.794
_cell_length_c 21.316
_cell_angle_alpha 90.00
_cell_angle_beta 90.00
_cell_angle_gamma 90.00
loop_
_atom_site_label
_atom_site_type_symbol
_atom_site_fract_x
_atom_site_fract_y
_atom_site_fract_z
Tb1 Tb 0.000 0.000 0.065
I1 I 0.000 0.000 0.346
O1 O 0.000 0.500 0.000
```

=====

Entry 15:
ThCd3Ag: relaxed, PBE-GGA.

```
data_ThCd3Ag
_symmetry_space_group_name_H-M 'P n m a'
_symmetry_Int_Tables_number 62
_cell_length_a 9.291
_cell_length_b 4.292
_cell_length_c 12.127
_cell_angle_alpha 90.00
_cell_angle_beta 90.00
_cell_angle_gamma 90.00
loop_
_symmetry_equiv_pos_as_xyz
'x,y,z'
'-x,-y,-z'
'-x+1/2,-y,z+1/2'
'x+1/2,y,-z+1/2'
'x+1/2,-y+1/2,-z+1/2'
'-x+1/2,y+1/2,z+1/2'
'-x,y+1/2,-z'
'x,-y+1/2,z'
loop_
_atom_site_label
_atom_site_type_symbol
_atom_site_fract_x
_atom_site_fract_y
_atom_site_fract_z
Th1 Th 0.167 0.250 0.004
Cd1 Cd 0.074 0.250 0.402
Cd2 Cd 0.097 0.750 0.213
Cd3 Cd 0.138 0.750 0.794
Ag1 Ag 0.128 0.250 0.629
```

Computed properties:
The polymorph energy (0 for the lowest one) comes out at 11 meV/atom.

=====

For the records above, the corresponding calculated volume values read 138.6, 57.0, 363.9, 104.9, 352.9, 153.5, 779.0, 437.0, 100.0, 105.5, 57.3, 406.6, 152.8, 306.8, 483.6 Å³ per cell.
For the records above, the corresponding calculated total energy values read -17.37, -36.71, -83.59, -16.79, -78.16, -14.86, -115.91, -192.73, -28.91, -10.48, -20.51, -44.43, -40.51, -71.03, -53.58 eV per cell.
For the records above, the corresponding magnetic moment values read 0.3728, 0.6214, 0.1292, 0.0000, 0.0000, 0.0000, 0.1676, 0.0000, 0.9155, 0.0008, 0.0000, 0.0000, 0.4094, 0.0000, 0.0000 μB per atom.